Entry 1:
First-principles (GGA-PBE) data for a geometry-optimized BaLi2InGa structure, as listed in Alexandria via LeMat-Bulk.

The total magnetization comes out at 0.008 μB per cell. The calculation puts the formation energy at -147 meV/atom.

The space group is P4/mmm (No. 123) and the conventional cell measures 5.180, 5.180 and 5.396 Å, with angles of 90.00, 90.00 and 90.00 degrees. The distinct sites, in fractional coordinates, are Ba at (0.000, 0.000, 0.000), Li at (0.000, 0.500, 0.500), In at (0.500, 0.500, 0.000) and Ga at (0.500, 0.500, 0.500).

Entry 2:
First-principles (GGA-PBE) data for a geometry-optimized ZrScSi2O8 structure, as listed in Alexandria via LeMat-Bulk.

For the formation energy from raw total energies, the calculation gives -278.09 kJ/mol of atoms. The total magnetization comes out at 1.311 μB per cell.

The space group is I-4m2 (No. 119) and the conventional cell measures 6.688, 6.688 and 6.061 Å, with angles of 90.00, 90.00 and 90.00 degrees. The distinct sites, in fractional coordinates, are Zr at (0.000, 0.000, 0.000), Sc at (0.000, 0.500, 0.750), Si at (0.000, 0.000, 0.500), Si at (0.000, 0.500, 0.250), O at (0.000, 0.185, 0.678) and O at (0.000, 0.313, 0.076).

Entry 3:
First-principles (GGA-PBE) data for a geometry-optimized InTeSe2 structure, as listed in Alexandria via LeMat-Bulk.

For the formation energy from raw total energies, the calculation gives -21.04 kJ/mol of atoms. The total magnetization comes out at 0.000 μB per cell. The energy relative to the lowest polymorph listed for this composition comes out at 0.000 eV/atom.

The space group is R-3m (No. 166, hexagonal axes) and the conventional cell measures 4.0136, 4.0136 and 25.7298 Å, with angles of 90.00, 90.00 and 120.00 degrees. The distinct sites, in fractional coordinates, are In at (0.0000, 0.0000, 0.0000), Te at (0.0000, 0.0000, 0.5000) and Se at (0.0000, 0.0000, 0.3931).

Entry 4:
First-principles (GGA-PBE) data for a geometry-optimized LaPm3Tm6 structure, as listed in Alexandria via LeMat-Bulk.

The total magnetization comes out at 0.000 μB per cell. The energy relative to the lowest polymorph listed for this composition comes out at 0.000 eV/atom. The calculation puts the formation energy at 144 meV/atom.

The space group is Cmc2_1 (No. 36) and the conventional cell measures 9.455, 15.178 and 9.080 Å, with angles of 90.00, 90.00 and 90.00 degrees. The distinct sites, in fractional coordinates, are La at (0.000, 0.237, 0.000), Pm at (0.000, 0.465, 0.051), Pm at (0.169, 0.142, 0.538), Tm at (0.000, 0.057, 0.190), Tm at (0.000, 0.303, 0.350), Tm at (0.180, 0.349, 0.706) and Tm at (0.217, 0.067, 0.877).

Entry 5:
First-principles (GGA-PBE) data for a geometry-optimized Cr2InBr structure, as listed in Alexandria via LeMat-Bulk.

For the formation energy from raw total energies, the calculation gives 55.81 kJ/mol of atoms. The total magnetization comes out at 17.419 μB per cell. The energy relative to the lowest polymorph listed for this composition comes out at 0.363 eV/atom.

The space group is C2/m (No. 12) and the conventional cell measures 6.486, 7.959 and 3.260 Å, with angles of 90.00, 90.75 and 90.00 degrees. The distinct sites, in fractional coordinates, are Cr at (0.250, 0.250, 0.000), In at (0.000, 0.000, 0.500) and Br at (0.000, 0.500, 0.500).

Entry 6:
First-principles (GGA-PBE) data for a geometry-optimized K3HgPt8 structure, as listed in Alexandria via LeMat-Bulk.

The total magnetization comes out at 0.000 μB per cell. The calculation puts the formation energy at -121 meV/atom.

The space group is R3m (No. 160, hexagonal axes) and the conventional cell measures 5.4923, 5.4923 and 26.9385 Å, with angles of 90.00, 90.00 and 120.00 degrees. The distinct sites, in fractional coordinates, are K at (0.0000, 0.0000, 0.0000), K at (0.0000, 0.0000, 0.1246), K at (0.0000, 0.0000, 0.4979), Hg at (0.0000, 0.0000, 0.6236), Pt at (0.0000, 0.0000, 0.3114), Pt at (0.0000, 0.0000, 0.8113), Pt at (0.0034, 0.5017, 0.5639) and Pt at (0.1681, 0.3361, 0.3923).

Entry 7:
First-principles (GGA-PBE) data for a geometry-optimized TbPr2Pt2 structure, as listed in Alexandria via LeMat-Bulk.

The total magnetization comes out at 0.000 μB per cell. The energy relative to the lowest polymorph listed for this composition comes out at 0.056 eV/atom. The calculation puts the formation energy at -865 meV/atom.

The space group is Ibam (No. 72) and the conventional cell measures 8.161, 10.959 and 6.347 Å, with angles of 90.00, 90.00 and 90.00 degrees. The distinct sites, in fractional coordinates, are Tb at (0.000, 0.000, 0.250), Pr at (0.136, 0.346, 0.000) and Pt at (0.233, 0.397, 0.500).

Entry 8:
First-principles (GGA-PBE) data for a geometry-optimized LaTbNiPt structure, as listed in Alexandria via LeMat-Bulk.

The total magnetization comes out at 0.000 μB per cell. The energy relative to the lowest polymorph listed for this composition comes out at 0.000 eV/atom. The calculation puts the formation energy at -800 meV/atom.

The space group is Amm2 (No. 38) and the conventional cell measures 4.496, 3.915 and 10.434 Å, with angles of 90.00, 90.00 and 90.00 degrees. The distinct sites, in fractional coordinates, are La at (0.000, 0.000, 0.000), Tb at (0.500, 0.000, 0.278), Ni at (0.000, 0.000, 0.726) and Pt at (0.500, 0.000, 0.565).

> The highest total magnetization belongs to which entry?

Cr2InBr

> What is the formula in the seventh record?

TbPr2Pt2

> total magnetization of number 6 (K3HgPt8)?

0.000 μB per cell